# Dy4TlSe2S, optimized geometry, DFT GGA-PBE
# Crystal system   monoclinic
# Formation energy from raw total energies   -1.412 eV/atom
# Total magnetic moment   0.0 μB/cell
data_Dy4TlSe2S
_chemical_formula_sum 'Dy4 Tl1 Se2 S1'
_space_group_name_H-M_alt 'P 1'
_space_group_IT_number 1
_space_group_name_Hall 'P 1'
_cell_length_a 4.0378
_cell_length_b 7.2064
_cell_length_c 7.2099
_cell_angle_alpha 108.64
_cell_angle_beta 90.00
_cell_angle_gamma 90.00
loop_
_atom_site_label
_atom_site_type_symbol
_atom_site_fract_x
_atom_site_fract_y
_atom_site_fract_z
_atom_site_occupancy
Dy1 Dy 0.0000 0.7632 0.2566 1
Dy2 Dy 0.0000 0.2368 0.7434 1
Dy3 Dy 0.5000 0.7641 0.7596 1
Dy4 Dy 0.5000 0.2359 0.2404 1
S1 S 0.0000 0.0000 0.0000 1
Se1 Se 0.5000 0.0000 0.5000 1
Se2 Se 0.0000 0.5000 0.5000 1
Tl1 Tl 0.5000 0.5000 0.0000 1



# PmTc2, optimized geometry, DFT GGA-PBE
# Energy relative to the lowest polymorph listed for this composition   0.115 eV per formula unit
# Crystal system   cubic
# Calculated formation energy   0.014 eV per atom
# Total magnetic moment   0.0 μB/cell
data_PmTc2
_chemical_formula_sum 'Pm2 Tc4'
_space_group_name_H-M_alt 'P 1'
_space_group_IT_number 1
_space_group_name_Hall 'P 1'
_cell_length_a 5.4739
_cell_length_b 5.4739
_cell_length_c 5.4739
_cell_angle_alpha 60.00
_cell_angle_beta 60.00
_cell_angle_gamma 60.00
loop_
_atom_site_label
_atom_site_type_symbol
_atom_site_fract_x
_atom_site_fract_y
_atom_site_fract_z
_atom_site_occupancy
Tc1 Tc 0.6250 0.6250 0.6250 1
Tc2 Tc 0.6250 0.6250 0.1250 1
Tc3 Tc 0.6250 0.1250 0.6250 1
Tc4 Tc 0.1250 0.6250 0.6250 1
Pm1 Pm 0.2500 0.2500 0.2500 1
Pm2 Pm 0.0000 0.0000 0.0000 1